No. 1
Entry from the Alexandria database: a relaxed structure of PmGdF (PBE-GGA). Values from VASP.

Geometry as Quantum ESPRESSO input:
```
&SYSTEM
  ibrav = 0, nat = 3, ntyp = 3
/
ATOMIC_SPECIES
Pm 145.00 Pm.upf
Gd 157.25 Gd.upf
F 19.00 F.upf
CELL_PARAMETERS angstrom
3.810 0.000 0.000
-1.905 3.299 0.000
0.000 0.000 5.704
ATOMIC_POSITIONS angstrom
Pm 0.000 0.000 0.000
Gd 1.905 1.100 2.850
F 0.000 2.200 4.227
```

## Properties
ΔE_f (raw): -1549.0 meV/atom
density: 7.44 Mg/m³
E: -25.35 eV/cell

=====

No. 2
Entry from the Alexandria database: a relaxed structure of Tb2Sm5Al4 (PBE-GGA). Values from VASP.

Geometry as Quantum ESPRESSO input:
```
&SYSTEM
  ibrav = 0, nat = 11, ntyp = 3
/
ATOMIC_SPECIES
Tb 158.93 Tb.upf
Sm 150.36 Sm.upf
Al 26.98 Al.upf
CELL_PARAMETERS angstrom
-1.677 5.039 9.274
1.677 -5.039 9.274
1.677 5.039 -9.274
ATOMIC_POSITIONS angstrom
Tb 0.000 0.000 3.171
Tb 0.000 0.000 15.376
Sm 1.677 0.000 0.000
Sm 1.677 -1.680 5.967
Sm 1.677 1.680 5.967
Sm 0.000 3.360 3.307
Sm 0.000 6.719 3.307
Al 0.000 2.981 0.000
Al 0.000 0.000 8.000
Al 0.000 0.000 10.547
Al 0.000 7.098 0.000
```

## Properties
density: 6.24 Mg/m³
E: -47.01 eV/cell
energy of formation: 0.074 eV/atom